# 1
Compound: Ti4Al2Zn
Source: the Alexandria database
Functional: GGA-PBE
Structure: optimized geometry

a = 5.4685 Å, b = 8.4743 Å, c = 5.1353 Å
α = 90.00°, β = 90.00°, γ = 90.00°
Space group Cmmm (No. 65)
Asymmetric unit:
1 Ti 0.0000 0.1774 0.0000 (multiplicity 4)
2 Ti 0.2500 0.2500 0.5000 (multiplicity 4)
3 Al 0.0000 0.5000 0.2447 (multiplicity 4)
4 Zn 0.0000 0.0000 0.5000 (multiplicity 2)

## Properties
Energy relative to the elements = -69 meV per atom
Offset from the most stable computed form = 0.097 eV/atom



# 2
Compound: Li4PtW
Source: the Alexandria database
Functional: GGA-PBE
Structure: optimized geometry

a = 6.7431 Å, b = 6.7431 Å, c = 6.7431 Å
α = 90.00°, β = 90.00°, γ = 90.00°
Space group F-43m (No. 216)
Asymmetric unit:
1 Li 0.1239 0.1239 0.1239 (multiplicity 16)
2 Pt 0.2500 0.2500 0.7500 (multiplicity 4)
3 W 0.0000 0.0000 0.5000 (multiplicity 4)

## Properties
Energy relative to the elements = 295 meV per atom



# 3
Compound: Mg3ZnI
Source: the Alexandria database
Functional: GGA-PBE
Structure: optimized geometry

a = 5.8116 Å, b = 5.8116 Å, c = 5.8116 Å
α = 90.00°, β = 90.00°, γ = 90.00°
Space group Pm-3m (No. 221)
Asymmetric unit:
1 Mg 0.0000 0.0000 0.5000 (multiplicity 3)
2 Zn 0.5000 0.5000 0.5000 (multiplicity 1)
3 I 0.0000 0.0000 0.0000 (multiplicity 1)

## Properties
Offset from the most stable computed form = 0.726 eV/atom
Energy relative to the elements, uncorrected = 713 meV/atom



# 4
Compound: La8Te4Ir3Cl
Source: the Alexandria database
Functional: GGA-PBE
Structure: optimized geometry

a = 8.6658 Å, b = 8.6658 Å, c = 22.8084 Å
α = 90.00°, β = 90.00°, γ = 120.00°
Space group R-3m (No. 166, hexagonal axes)
Asymmetric unit:
1 La 0.0000 0.0000 0.2359 (multiplicity 6)
2 La 0.0190 0.5095 0.7616 (multiplicity 18)
3 Te 0.0000 0.0000 0.0000 (multiplicity 3)
4 Te 0.0000 0.5000 0.0000 (multiplicity 9)
5 Ir 0.0000 0.5000 0.5000 (multiplicity 9)
6 Cl 0.0000 0.0000 0.5000 (multiplicity 3)

## Properties
Energy relative to the elements, uncorrected = -1292 meV/atom



# 5
Compound: SrCoIr2
Source: the Alexandria database
Functional: GGA-PBE
Structure: optimized geometry

a = 2.8074 Å, b = 3.7062 Å, c = 6.9585 Å
α = 90.00°, β = 90.00°, γ = 90.00°
Space group Pmm2 (No. 25)
Asymmetric unit:
1 Sr 0.0000 0.0000 0.0000 (multiplicity 1)
2 Co 0.5000 0.5000 0.3265 (multiplicity 1)
3 Ir 0.0000 0.0000 0.4855 (multiplicity 1)
4 Ir 0.5000 0.5000 0.6853 (multiplicity 1)

## Properties
Energy relative to the elements = 321 meV per atom
Offset from the most stable computed form = 0.394 eV/atom



# 6
Compound: HfS2ICl
Source: the Alexandria database
Functional: GGA-PBE
Structure: optimized geometry

a = 5.0265 Å, b = 5.0265 Å, c = 4.9903 Å
α = 90.00°, β = 90.00°, γ = 90.00°
Space group P4/mmm (No. 123)
Asymmetric unit:
1 Hf 0.0000 0.0000 0.0000 (multiplicity 1)
2 S 0.0000 0.5000 0.0000 (multiplicity 2)
3 I 0.5000 0.5000 0.5000 (multiplicity 1)
4 Cl 0.0000 0.0000 0.5000 (multiplicity 1)

## Properties
Offset from the most stable computed form = 0.000 eV/atom
Energy relative to the elements, uncorrected = -620 meV/atom



# 7
Compound: Ce2Ga3Ni4Ir
Source: the Alexandria database
Functional: GGA-PBE
Structure: optimized geometry

a = 3.8273 Å, b = 3.8273 Å, c = 11.2591 Å
α = 90.00°, β = 90.00°, γ = 90.00°
Space group P-4m2 (No. 115)
Asymmetric unit:
1 Ce 0.0000 0.5000 0.2313 (multiplicity 2)
2 Ga 0.0000 0.0000 0.0000 (multiplicity 1)
3 Ga 0.0000 0.5000 0.6281 (multiplicity 2)
4 Ni 0.0000 0.0000 0.5000 (multiplicity 1)
5 Ni 0.0000 0.5000 0.8434 (multiplicity 2)
6 Ni 0.5000 0.5000 0.5000 (multiplicity 1)
7 Ir 0.5000 0.5000 0.0000 (multiplicity 1)

## Properties
Energy relative to the elements = -491 meV per atom



# 8
Compound: AuSO4
Source: the Alexandria database
Functional: GGA-PBE
Structure: optimized geometry

a = 4.7718 Å, b = 7.9525 Å, c = 5.2934 Å
α = 90.00°, β = 105.78°, γ = 90.00°
Space group P2_1 (No. 4)
Asymmetric unit:
1 Au 0.2251 0.0000 0.0555 (multiplicity 2)
2 S 0.1430 0.6753 0.6697 (multiplicity 2)
3 O 0.1743 0.1778 0.3238 (multiplicity 2)
4 O 0.1750 0.6450 0.4104 (multiplicity 2)
5 O 0.2728 0.5361 0.8696 (multiplicity 2)
6 O 0.2828 0.8422 0.7633 (multiplicity 2)

## Properties
Energy relative to the elements, uncorrected = -741 meV/atom



Number 1: electronic total energy -81.64 eV for the cell shown, magnetic moment 3.0 μB per cell. Number 2: electronic total energy -99.52 eV for the cell shown, magnetic moment 5.4 μB per cell. Number 3: electronic total energy -4.04 eV for the cell shown, magnetic moment 0.0 μB per cell. Number 4: electronic total energy -303.29 eV for the cell shown, magnetic moment 0.0 μB per cell. Number 5: electronic total energy -25.22 eV for the cell shown, magnetic moment 1.8 μB per cell. Number 6: electronic total energy -24.71 eV for the cell shown, magnetic moment 0.7 μB per cell. Number 7: electronic total energy -57.85 eV for the cell shown, magnetic moment 0.0 μB per cell. Number 8: electronic total energy -63.37 eV for the cell shown, magnetic moment 0.0 μB per cell.